Entry 1:
{"formula": "LaDy2Ho3", "functional": "PBE", "state": "optimized geometry", "dft_energy_ev_per_atom": -4.483, "spacegroup": "P2_1/m (11)", "lattice_angstrom": [[9.825, 0.000, 0.000], [0.000, 3.475, 0.000], [-3.606, 0.000, 11.587]], "species": ["La", "La", "Dy", "Dy", "Dy", "Dy", "Ho", "Ho", "Ho", "Ho", "Ho", "Ho"], "fractional_positions": [[0.216, 0.250, 0.371], [0.784, 0.750, 0.629], [0.022, 0.250, 0.878], [0.104, 0.250, 0.621], [0.896, 0.750, 0.379], [0.978, 0.750, 0.122], [0.294, 0.250, 0.120], [0.396, 0.250, 0.872], [0.423, 0.750, 0.621], [0.577, 0.250, 0.379], [0.604, 0.750, 0.128], [0.706, 0.750, 0.880]]}

=====

Entry 2:
{"formula": "La3Dy8Ho4", "functional": "PBE", "state": "optimized geometry", "dft_energy_ev_per_atom": -4.278, "spacegroup": "C2/m (12)", "lattice_angstrom": [[6.733, -6.430, 0.000], [6.733, 6.430, 0.000], [-3.396, 0.000, 5.849]], "species": ["La", "La", "La", "Dy", "Dy", "Dy", "Dy", "Dy", "Dy", "Dy", "Dy", "Ho", "Ho", "Ho", "Ho"], "fractional_positions": [[0.000, 0.000, 0.000], [0.000, 0.500, 0.500], [0.500, 0.000, 0.500], [0.256, 0.744, 0.000], [0.267, 0.267, 0.022], [0.271, 0.271, 0.507], [0.363, 0.637, 0.500], [0.637, 0.363, 0.500], [0.729, 0.729, 0.493], [0.733, 0.733, 0.978], [0.744, 0.256, 0.000], [0.000, 0.000, 0.500], [0.000, 0.500, 0.000], [0.500, 0.000, 0.000], [0.500, 0.500, 0.000]]}

=====

E_form across the listed records, respectively: 0.97 5.74 eV per formula unit.